The following is a DFT calculation (PBE) of crystalline MgOsCl2 at its relaxed geometry.

CIF file:
```
data_MgOsCl2
_chemical_formula_sum 'Mg2 Os2 Cl4'
_symmetry_space_group_name_H-M 'C 1 2/m 1'
_symmetry_Int_Tables_number 12
_cell_length_a 13.8889
_cell_length_b 2.9465
_cell_length_c 4.7482
_cell_angle_alpha 90.00
_cell_angle_beta 90.77
_cell_angle_gamma 90.00
loop_
_symmetry_equiv_pos_as_xyz
'x,y,z'
'-x,-y,-z'
'-x,y,-z'
'x,-y,z'
'x+1/2,y+1/2,z'
'-x+1/2,-y+1/2,-z'
'-x+1/2,y+1/2,-z'
'x+1/2,-y+1/2,z'
loop_
_atom_site_label
_atom_site_type_symbol
_atom_site_fract_x
_atom_site_fract_y
_atom_site_fract_z
_atom_site_occupancy
Mg1 Mg 0.0000 0.0000 0.0000 1
Os1 Os 0.0000 0.5000 0.5000 1
Cl1 Cl 0.1379 0.5000 0.2362 1
```

Computed properties:
Offset from the most stable computed form ... 0.120 eV per atom
Formation energy without anion corrections ... -0.10 eV per atom
Energy ... -4.2274 eV per atom
Theoretical density ... 4.9 Mg/m³